1.
# CsCrI2, relaxed, DFT GGA-PBEsol
# - formation energy from raw total energies (eV/atom) = -0.472
# - total magnetization (Bohr magnetons per cell) = 19.95
data_CsCrI2
_symmetry_space_group_name_H-M 'C m c m'
_symmetry_Int_Tables_number 63
_symmetry_space_group_name_Hall '-C 2c 2'
_cell_length_a 8.3557
_cell_length_b 12.9936
_cell_length_c 6.2681
_cell_angle_alpha 90.00
_cell_angle_beta 90.00
_cell_angle_gamma 90.00
loop_
_atom_site_label
_atom_site_type_symbol
_atom_site_fract_x
_atom_site_fract_y
_atom_site_fract_z
_atom_site_occupancy
Cs1 Cs 0.0000 0.1456 0.2500 1
Cr1 Cr 0.0000 0.5000 0.0000 1
I1 I 0.2374 0.3962 0.2500 1

=====

2.
# CsCrI3, relaxed, DFT GGA-PBEsol
# - formation energy from raw total energies (eV/atom) = -0.760
# - total magnetization (Bohr magnetons per cell) = 8.00
data_CsCrI3
_symmetry_space_group_name_H-M 'P 63/m m c'
_symmetry_Int_Tables_number 194
_symmetry_space_group_name_Hall '-P 6c 2c'
_cell_length_a 7.9655
_cell_length_b 7.9655
_cell_length_c 6.6961
_cell_angle_alpha 90.00
_cell_angle_beta 90.00
_cell_angle_gamma 120.00
loop_
_atom_site_label
_atom_site_type_symbol
_atom_site_fract_x
_atom_site_fract_y
_atom_site_fract_z
_atom_site_occupancy
Cs1 Cs 0.3333 0.6667 0.2500 1
Cr1 Cr 0.0000 0.0000 0.0000 1
I1 I 0.1644 0.3287 0.7500 1

=====

3.
# CsCrIn3, relaxed, DFT GGA-PBEsol
# - DFT total energy (eV/cell) = -11.70
# - total magnetization (Bohr magnetons per cell) = 4.80
data_CsCrIn3
_symmetry_space_group_name_H-M 'P m -3 m'
_symmetry_Int_Tables_number 221
_symmetry_space_group_name_Hall '-P 4 2 3'
_cell_length_a 6.1485
_cell_length_b 6.1485
_cell_length_c 6.1485
_cell_angle_alpha 90.00
_cell_angle_beta 90.00
_cell_angle_gamma 90.00
loop_
_atom_site_label
_atom_site_type_symbol
_atom_site_fract_x
_atom_site_fract_y
_atom_site_fract_z
_atom_site_occupancy
Cs1 Cs 0.0000 0.0000 0.0000 1
Cr1 Cr 0.5000 0.5000 0.5000 1
In1 In 0.0000 0.0000 0.5000 1

=====

4.
# CsCrInSb2, relaxed, DFT GGA-PBEsol
# - formation energy from raw total energies (eV/atom) = 1.667
# - total magnetization (Bohr magnetons per cell) = 4.92
data_CsCrInSb2
_symmetry_space_group_name_H-M 'P 4/m m m'
_symmetry_Int_Tables_number 123
_symmetry_space_group_name_Hall '-P 4 2'
_cell_length_a 6.1453
_cell_length_b 6.1453
_cell_length_c 5.4417
_cell_angle_alpha 90.00
_cell_angle_beta 90.00
_cell_angle_gamma 90.00
loop_
_atom_site_label
_atom_site_type_symbol
_atom_site_fract_x
_atom_site_fract_y
_atom_site_fract_z
_atom_site_occupancy
Cs1 Cs 0.0000 0.0000 0.0000 1
Cr1 Cr 0.0000 0.0000 0.5000 1
In1 In 0.5000 0.5000 0.5000 1
Sb1 Sb 0.0000 0.5000 0.0000 1

=====

5.
# CsCrP2Ir, relaxed, DFT GGA-PBEsol
# - DFT total energy (eV/cell) = -18.67
# - total magnetization (Bohr magnetons per cell) = 3.01
data_CsCrP2Ir
_symmetry_space_group_name_H-M 'P 4/m m m'
_symmetry_Int_Tables_number 123
_symmetry_space_group_name_Hall '-P 4 2'
_cell_length_a 5.1674
_cell_length_b 5.1674
_cell_length_c 5.0002
_cell_angle_alpha 90.00
_cell_angle_beta 90.00
_cell_angle_gamma 90.00
loop_
_atom_site_label
_atom_site_type_symbol
_atom_site_fract_x
_atom_site_fract_y
_atom_site_fract_z
_atom_site_occupancy
Cs1 Cs 0.0000 0.0000 0.0000 1
Cr1 Cr 0.5000 0.5000 0.5000 1
P1 P 0.0000 0.5000 0.0000 1
Ir1 Ir 0.0000 0.0000 0.5000 1

=====

6.
# Cs3KCr, relaxed, DFT GGA-PBEsol
# - DFT total energy (eV/cell) = -11.02
# - total magnetization (Bohr magnetons per cell) = 5.84
data_Cs3KCr
_symmetry_space_group_name_H-M 'P m -3 m'
_symmetry_Int_Tables_number 221
_symmetry_space_group_name_Hall '-P 4 2 3'
_cell_length_a 7.4223
_cell_length_b 7.4223
_cell_length_c 7.4223
_cell_angle_alpha 90.00
_cell_angle_beta 90.00
_cell_angle_gamma 90.00
loop_
_atom_site_label
_atom_site_type_symbol
_atom_site_fract_x
_atom_site_fract_y
_atom_site_fract_z
_atom_site_occupancy
Cs1 Cs 0.0000 0.0000 0.5000 1
K1 K 0.5000 0.5000 0.5000 1
Cr1 Cr 0.0000 0.0000 0.0000 1

=====

7.
# CsLiCrO4, relaxed, DFT GGA-PBEsol
# - formation energy from raw total energies (eV/atom) = -2.044
# - total magnetization (Bohr magnetons per cell) = 0.00
data_CsLiCrO4
_symmetry_space_group_name_H-M 'P 1 21/c 1'
_symmetry_Int_Tables_number 14
_cell_length_a 5.5646
_cell_length_b 9.0054
_cell_length_c 11.0577
_cell_angle_alpha 90.00
_cell_angle_beta 120.01
_cell_angle_gamma 90.00
loop_
_symmetry_equiv_pos_as_xyz
'x,y,z'
'-x,-y,-z'
'-x,y+1/2,-z+1/2'
'x,-y+1/2,z+1/2'
loop_
_atom_site_label
_atom_site_type_symbol
_atom_site_fract_x
_atom_site_fract_y
_atom_site_fract_z
_atom_site_occupancy
Cs1 Cs 0.0058 0.0038 0.2275 1
Li1 Li 0.3285 0.1871 0.5924 1
Cr1 Cr 0.3283 0.7085 0.0702 1
O1 O 0.0265 0.7231 0.5374 1
O2 O 0.3237 0.5270 0.0804 1
O3 O 0.3818 0.7454 0.4412 1
O4 O 0.4186 0.2251 0.7818 1

=====

8.
# CsMg3Cr, relaxed, DFT GGA-PBEsol
# - DFT total energy (eV/cell) = -7.79
# - total magnetization (Bohr magnetons per cell) = 5.36
data_CsMg3Cr
_symmetry_space_group_name_H-M 'P m -3 m'
_symmetry_Int_Tables_number 221
_symmetry_space_group_name_Hall '-P 4 2 3'
_cell_length_a 6.5667
_cell_length_b 6.5667
_cell_length_c 6.5667
_cell_angle_alpha 90.00
_cell_angle_beta 90.00
_cell_angle_gamma 90.00
loop_
_atom_site_label
_atom_site_type_symbol
_atom_site_fract_x
_atom_site_fract_y
_atom_site_fract_z
_atom_site_occupancy
Cs1 Cs 0.0000 0.0000 0.0000 1
Mg1 Mg 0.0000 0.0000 0.5000 1
Cr1 Cr 0.5000 0.5000 0.5000 1